[1]
DFT (GGA-PBE) results for an optimized crystal structure of AlTlTe2.

a b c (Å): 5.4272 5.4272 3.7725
angles (deg): 90.00 90.00 90.00
Space group P4/mmm (No. 123)
Symmetry-distinct sites (fractional):
Al: 0.0000 0.0000 0.0000 x1
Tl: 0.5000 0.5000 0.0000 x1
Te: 0.0000 0.5000 0.5000 x2

The calculation puts the total magnetization at 0.0000 μB per atom. Its energy relative to the elements, uncorrected is 0.10 eV/atom.

[2]
DFT (GGA-PBE) results for an optimized crystal structure of CoNi2Cl.

a b c (Å): 5.8861 5.8861 5.8861
angles (deg): 90.00 90.00 90.00
Space group Fm-3m (No. 225)
Symmetry-distinct sites (fractional):
Co: 0.0000 0.0000 0.0000 x4
Ni: 0.2500 0.2500 0.2500 x8
Cl: 0.0000 0.0000 0.5000 x4

The calculation puts the total magnetization at 0.7618 μB per atom. Its energy relative to the elements, uncorrected is 0.69 eV/atom.

[3]
DFT (GGA-PBE) results for an optimized crystal structure of FeCo.

a b c (Å): 2.8407 4.0138 16.0508
angles (deg): 90.00 90.00 90.00
Space group Immm (No. 71)
Symmetry-distinct sites (fractional):
Fe: 0.0000 0.0000 0.0000 x2
Fe: 0.0000 0.0000 0.5000 x2
Fe: 0.0000 0.5000 0.1257 x4
Co: 0.0000 0.0000 0.2520 x4
Co: 0.0000 0.5000 0.3746 x4

The calculation puts the total magnetization at 2.1815 μB per atom. The calculated formation energy is -0.01 eV per atom.

[4]
DFT (GGA-PBE) results for an optimized crystal structure of RuO2F6.

a b c (Å): 10.6334 10.6334 10.6334
angles (deg): 90.00 90.00 90.00
Space group Ia-3 (No. 206)
Symmetry-distinct sites (fractional):
Ru: 0.2500 0.2500 0.2500 x8
O: 0.0324 0.0324 0.0324 x16
F: 0.1108 0.1571 0.3052 x48

The calculation puts the total magnetization at 0.4444 μB per atom. Its energy relative to the elements, uncorrected is -1.24 eV/atom.

[5]
DFT (GGA-PBE) results for an optimized crystal structure of SrAsCl3.

a b c (Å): 5.2743 5.2743 5.2743
angles (deg): 90.00 90.00 90.00
Space group Pm-3m (No. 221)
Symmetry-distinct sites (fractional):
Sr: 0.0000 0.0000 0.0000 x1
As: 0.5000 0.5000 0.5000 x1
Cl: 0.0000 0.5000 0.5000 x3

The calculation puts the total magnetization at 0.0000 μB per atom. Its energy relative to the elements, uncorrected is -0.84 eV/atom.

[6]
DFT (GGA-PBE) results for an optimized crystal structure of LaY2MgTc.

a b c (Å): 5.5917 5.5917 4.7218
angles (deg): 90.00 90.00 90.00
Space group P4/mmm (No. 123)
Symmetry-distinct sites (fractional):
La: 0.0000 0.0000 0.0000 x1
Y: 0.0000 0.5000 0.0000 x2
Mg: 0.5000 0.5000 0.5000 x1
Tc: 0.0000 0.0000 0.5000 x1

The calculation puts the total magnetization at 0.0000 μB per atom. The calculated formation energy is 0.95 eV per atom.

[7]
DFT (GGA-PBE) results for an optimized crystal structure of Ba2MgBe2.

a b c (Å): 3.4226 3.4226 23.4035
angles (deg): 90.00 90.00 90.00
Space group I4/mmm (No. 139)
Symmetry-distinct sites (fractional):
Ba: 0.0000 0.0000 0.1234 x4
Mg: 0.0000 0.0000 0.5000 x2
Be: 0.0000 0.5000 0.2500 x4

The calculation puts the total magnetization at 0.0000 μB per atom. The calculated formation energy is 0.56 eV per atom.

[8]
DFT (GGA-PBE) results for an optimized crystal structure of Cs2NaNpF8.

a b c (Å): 6.4428 6.4428 11.6576
angles (deg): 90.00 90.00 90.00
Space group I-4m2 (No. 119)
Symmetry-distinct sites (fractional):
Cs: 0.0000 0.0000 0.0000 x2
Cs: 0.0000 0.5000 0.2500 x2
Na: 0.0000 0.0000 0.5000 x2
Np: 0.0000 0.5000 0.7500 x2
F: 0.1906 0.2945 0.6404 x16

The calculation puts the total magnetization at 0.1667 μB per atom. Its energy relative to the elements, uncorrected is -3.03 eV/atom.

[9]
DFT (GGA-PBE) results for an optimized crystal structure of RbSnPd.

a b c (Å): 4.5264 4.5264 5.8342
angles (deg): 90.00 90.00 120.00
Space group P-6m2 (No. 187)
Symmetry-distinct sites (fractional):
Rb: 0.0000 0.0000 0.0000 x1
Sn: 0.6667 0.3333 0.5000 x1
Pd: 0.3333 0.6667 0.5000 x1

The calculation puts the total magnetization at 0.0000 μB per atom. The calculated formation energy is -0.20 eV per atom.

[10]
DFT (GGA-PBE) results for an optimized crystal structure of BaBeRh2.

a b c (Å): 4.9503 4.9503 15.3263
angles (deg): 90.00 90.00 90.00
Space group I4_1/amd (No. 141, origin choice 2)
Symmetry-distinct sites (fractional):
Ba: 0.0000 0.2500 0.3750 x4
Be: 0.0000 0.2500 0.8750 x4
Rh: 0.0000 0.0000 0.0000 x8

The calculation puts the total magnetization at 0.0000 μB per atom. The calculated formation energy is 0.02 eV per atom.

[11]
DFT (GGA-PBE) results for an optimized crystal structure of Pm4DyEr2Tm2.

a b c (Å): 15.1569 5.0364 7.9856
angles (deg): 90.00 108.35 90.00
Space group C2/m (No. 12)
Symmetry-distinct sites (fractional):
Pm: 0.0540 0.0000 0.3306 x4
Pm: 0.2229 0.5000 0.3321 x4
Dy: 0.0000 0.5000 0.0000 x2
Er: 0.1114 0.5000 0.6692 x4
Tm: 0.1675 0.0000 0.9999 x4

The calculation puts the total magnetization at 0.0000 μB per atom. The calculated formation energy is 0.02 eV per atom.

[12]
DFT (GGA-PBE) results for an optimized crystal structure of LaCu2Re.

a b c (Å): 4.4109 4.4109 17.7121
angles (deg): 90.00 90.00 90.00
Space group I-42d (No. 122)
Symmetry-distinct sites (fractional):
La: 0.0000 0.0000 0.0000 x4
Cu: 0.0834 0.2500 0.6250 x8
Re: 0.0000 0.0000 0.5000 x4

The calculation puts the total magnetization at 0.1202 μB per atom. The calculated formation energy is 0.62 eV per atom.

[13]
DFT (GGA-PBE) results for an optimized crystal structure of Cs3Ho2MgS6.

a b c (Å): 7.0167 12.1576 8.3462
angles (deg): 90.00 106.29 90.00
Space group C2/m (No. 12)
Symmetry-distinct sites (fractional):
Cs: 0.0000 0.0000 0.0000 x2
Cs: 0.0000 0.3337 0.0000 x4
Ho: 0.0000 0.1665 0.5000 x4
Mg: 0.0000 0.5000 0.5000 x2
S: 0.2242 0.3352 0.6786 x8
S: 0.2301 0.0000 0.6785 x4

The calculation puts the total magnetization at 0.0000 μB per atom. Its energy relative to the elements, uncorrected is -1.50 eV/atom.

[14]
DFT (GGA-PBE) results for an optimized crystal structure of YTmNbN3.

a b c (Å): 5.7317 3.3196 8.5678
angles (deg): 90.00 102.98 90.00
Space group P2_1/m (No. 11)
Symmetry-distinct sites (fractional):
Y: 0.1535 0.2500 0.1886 x2
Tm: 0.2696 0.7500 0.5476 x2
Nb: 0.3644 0.2500 0.8651 x2
N: 0.0587 0.2500 0.6768 x2
N: 0.2475 0.7500 0.9889 x2
N: 0.4556 0.7500 0.3326 x2

The calculation puts the total magnetization at 0.0000 μB per atom. Its energy relative to the elements, uncorrected is -1.44 eV/atom.

[15]
DFT (GGA-PBE) results for an optimized crystal structure of PrHoThCd.

a b c (Å): 7.8483 7.8483 7.8483
angles (deg): 90.00 90.00 90.00
Space group F-43m (No. 216)
Symmetry-distinct sites (fractional):
Pr: 0.0000 0.0000 0.0000 x4
Ho: 0.2500 0.2500 0.2500 x4
Th: 0.0000 0.0000 0.5000 x4
Cd: 0.2500 0.2500 0.7500 x4

The calculation puts the total magnetization at 0.0000 μB per atom. The calculated formation energy is 0.04 eV per atom.

[16]
DFT (GGA-PBE) results for an optimized crystal structure of Cs2Li2PuSe4.

a b c (Å): 15.7547 4.3711 8.2777
angles (deg): 90.00 108.68 90.00
Space group C2/m (No. 12)
Symmetry-distinct sites (fractional):
Cs: 0.1389 0.0000 0.0654 x4
Li: 0.1801 0.5000 0.4884 x4
Pu: 0.0000 0.0000 0.5000 x2
Se: 0.0164 0.5000 0.2853 x4
Se: 0.1896 0.0000 0.6520 x4

The calculation puts the total magnetization at 0.4444 μB per atom. Its energy relative to the elements, uncorrected is -1.30 eV/atom.

[17]
DFT (GGA-PBE) results for an optimized crystal structure of KIrS2N.

a b c (Å): 5.1793 5.1793 4.1107
angles (deg): 90.00 90.00 90.00
Space group P4/mmm (No. 123)
Symmetry-distinct sites (fractional):
K: 0.0000 0.0000 0.0000 x1
Ir: 0.5000 0.5000 0.5000 x1
S: 0.0000 0.5000 0.0000 x2
N: 0.0000 0.0000 0.5000 x1

The calculation puts the total magnetization at 0.2817 μB per atom. Its energy relative to the elements, uncorrected is 2.82 eV/atom.

[18]
DFT (GGA-PBE) results for an optimized crystal structure of TaTeSe2N.

a b c (Å): 5.3645 5.3645 3.8506
angles (deg): 90.00 90.00 90.00
Space group P4/mmm (No. 123)
Symmetry-distinct sites (fractional):
Ta: 0.0000 0.0000 0.0000 x1
Te: 0.5000 0.5000 0.5000 x1
Se: 0.0000 0.5000 0.5000 x2
N: 0.5000 0.5000 0.0000 x1

The calculation puts the total magnetization at 0.4358 μB per atom. Its energy relative to the elements, uncorrected is 1.35 eV/atom.

[19]
DFT (GGA-PBE) results for an optimized crystal structure of CsP2H6Se.

a b c (Å): 7.8839 12.0806 7.0412
angles (deg): 90.00 90.89 90.00
Space group C2/c (No. 15)
Symmetry-distinct sites (fractional):
Cs: 0.0000 0.1937 0.2500 x4
P: 0.2452 0.0519 0.7441 x8
H: 0.1465 0.4125 0.4055 x8
H: 0.1469 0.4131 0.1019 x8
H: 0.1482 0.1581 0.7435 x8
Se: 0.0000 0.3304 0.7500 x4

The calculation puts the total magnetization at 0.0000 μB per atom.

[20]
DFT (GGA-PBE) results for an optimized crystal structure of Cd8In2Ga.

a b c (Å): 8.3725 14.5220 4.8756
angles (deg): 90.00 113.08 90.00
Space group C2/m (No. 12)
Symmetry-distinct sites (fractional):
Cd: 0.0000 0.2001 0.0000 x4
Cd: 0.1173 0.5000 0.8190 x4
Cd: 0.2023 0.1103 0.6291 x8
In: 0.0000 0.3118 0.5000 x4
Ga: 0.0000 0.0000 0.0000 x2

The calculation puts the total magnetization at 0.0000 μB per atom. The calculated formation energy is 0.09 eV per atom.

In order of appearance, V = 111.1, 203.9, 183.0, 1202.3, 146.7, 147.6, 274.1, 483.9, 103.5, 375.6, 578.6, 344.6, 683.4, 158.9, 483.4, 540.0, 110.3, 110.8, 670.5, 545.3 Å³ per cell.
In order of appearance, VASP energy = -2.999, -4.435, -7.793, -4.618, -3.218, -5.016, -2.015, -5.612, -3.586, -5.070, -4.609, -5.768, -4.670, -9.106, -4.385, -5.056, -2.488, -4.712, -3.642, -1.346 eV per atom.